First-principles (PBE) data for a geometry-optimized NaTa4O5F structure, as listed in OQMD via LeMat-Bulk.

Values from the calculation:
symmetry	No. 123
total magnetization	0.0	μB/f.u.
total DFT energy (no corrections)	-9.126	eV per atom

Cell and atoms, written as POSCAR:
```
NaTa4O5F
1.0
4.152 0.000 0.000
0.000 4.152 0.000
0.000 0.000 8.188
Na Ta O F
1 4 5 1
Direct
0.000 0.000 0.000
0.000 0.500 0.500
0.500 0.000 0.500
0.500 0.500 0.260
0.500 0.500 0.740
0.000 0.000 0.500
0.000 0.500 0.239
0.000 0.500 0.761
0.500 0.000 0.239
0.500 0.000 0.761
0.500 0.500 0.000
```